This record from Alexandria via LeMat-Bulk describes crystalline RhBr at its relaxed geometry. The functional is PBE.

Properties
Calculated density = 6.8 g cm⁻³
N(E_F) = 3.62 states/eV per cell
Formation energy from raw total energies = 73 kJ/mol of formula units

Unit cell a=7.8442 b=7.8442 c=7.8442 alpha=154.90 beta=154.23 gamma=36.29
Fractional coordinates of all 4 atoms:
Rh  0.9295  0.1795  0.2500
Rh  0.0705  0.8205  0.7500
Br  0.6277  0.3777  0.7500
Br  0.3723  0.6223  0.2500